(1)
The following is a DFT calculation (PBE) of a relaxed SrLiY2Ir crystal. Values from VASP.

```
&SYSTEM
  ibrav = 0, nat = 5, ntyp = 4
/
ATOMIC_SPECIES
Y 88.91 Y.upf
Li 6.94 Li.upf
Ir 192.22 Ir.upf
Sr 87.62 Sr.upf
CELL_PARAMETERS angstrom
-1.961 0.094 -5.006
3.107 -4.192 -1.296
-3.943 -3.381 1.482
ATOMIC_POSITIONS angstrom
Y -0.981 0.047 -2.503
Y 1.554 -2.096 -0.648
Li -1.972 -1.690 0.741
Ir 0.000 0.000 0.000
Sr -1.399 -3.740 -2.410
```

(2)
The following is a DFT calculation (PBE) of a relaxed SrLiY2Ir crystal. Values from VASP.

```
&SYSTEM
  ibrav = 0, nat = 5, ntyp = 4
/
ATOMIC_SPECIES
Ir 192.22 Ir.upf
Y 88.91 Y.upf
Li 6.94 Li.upf
Sr 87.62 Sr.upf
CELL_PARAMETERS angstrom
-1.706 -3.383 -3.861
4.507 0.961 -2.833
2.714 -4.539 2.777
ATOMIC_POSITIONS angstrom
Ir 0.000 0.000 0.000
Y 2.253 0.481 -1.417
Y -0.853 -1.691 -1.931
Li 2.757 -3.480 -1.959
Sr 1.357 -2.270 1.389
```

(3)
The following is a DFT calculation (PBE) of a relaxed SrLiZnIr crystal. Values from VASP.

```
&SYSTEM
  ibrav = 0, nat = 4, ntyp = 4
/
ATOMIC_SPECIES
Li 6.94 Li.upf
Zn 65.41 Zn.upf
Sr 87.62 Sr.upf
Ir 192.22 Ir.upf
CELL_PARAMETERS angstrom
4.378 0.000 0.000
-2.189 3.773 -0.007
0.000 -2.520 5.378
ATOMIC_POSITIONS angstrom
Li 2.189 2.162 0.529
Zn 0.000 0.897 4.941
Sr 2.189 -0.362 2.849
Ir 0.000 -1.623 4.936
```

Number 1: total moment 0.0 μB per formula unit, formation enthalpy at 0 K -177 meV/atom. Number 2: total moment 0.0 μB per formula unit, formation enthalpy at 0 K -184 meV/atom. Number 3: total moment 0.0 μB per formula unit, formation enthalpy at 0 K -217 meV/atom.